Entry from the Alexandria database: a geometry-optimized HgSb2TeAs structure (PBE).

a = 5.500 Å, b = 5.500 Å, c = 5.557 Å
α = 90.00°, β = 90.00°, γ = 90.00°
Space group P4/mmm (No. 123)
Asymmetric unit:
Hg (0.000, 0.000, 0.000)
Sb (0.000, 0.500, 0.000)
Te (0.000, 0.000, 0.500)
As (0.500, 0.500, 0.500)

Properties
Raw formation energy   1.013 eV/atom
E above lowest polymorph   2.29 eV/f.u.

Entry from the Alexandria database: a geometry-optimized Th4HgSb2As structure (PBE).

a = 7.677 Å, b = 4.381 Å, c = 7.730 Å
α = 90.00°, β = 108.92°, γ = 90.00°
Space group P2/m (No. 10)
Asymmetric unit:
Th (0.238, 0.000, 0.233)
Th (0.249, 0.500, 0.761)
Hg (0.500, 0.000, 0.000)
Sb (0.000, 0.000, 0.500)
Sb (0.500, 0.500, 0.500)
As (0.000, 0.500, 0.000)

Properties
Raw formation energy   -0.806 eV/atom

Entry from the Alexandria database: a geometry-optimized Tl2HgSbAs structure (PBE).

a = 4.393 Å, b = 12.330 Å, c = 10.937 Å
α = 90.00°, β = 90.00°, γ = 90.00°
Space group Cmcm (No. 63)
Asymmetric unit:
Tl (0.000, 0.160, 0.080)
Hg (0.000, 0.195, 0.750)
Sb (0.000, 0.481, 0.250)
As (0.000, 0.500, 0.000)

Properties
Raw formation energy   0.081 eV/atom

Entry from the Alexandria database: a geometry-optimized Y2HgSbAs structure (PBE).

a = 5.466 Å, b = 5.466 Å, c = 5.037 Å
α = 90.00°, β = 90.00°, γ = 90.00°
Space group P4/mmm (No. 123)
Asymmetric unit:
Y (0.000, 0.500, 0.000)
Hg (0.000, 0.000, 0.500)
Sb (0.500, 0.500, 0.500)
As (0.000, 0.000, 0.000)

Properties
Raw formation energy   -0.402 eV/atom

Entry from the Alexandria database: a geometry-optimized ZrHg2SbAs structure (PBE).

a = 5.107 Å, b = 5.107 Å, c = 5.517 Å
α = 90.00°, β = 90.00°, γ = 90.00°
Space group P4/mmm (No. 123)
Asymmetric unit:
Zr (0.000, 0.000, 0.000)
Hg (0.000, 0.500, 0.500)
Sb (0.500, 0.500, 0.000)
As (0.500, 0.500, 0.500)

Properties
Raw formation energy   0.684 eV/atom

Entry from the Alexandria database: a geometry-optimized ScHgAs2 structure (PBE).

a = 9.591 Å, b = 3.484 Å, c = 5.528 Å
α = 90.00°, β = 99.50°, γ = 90.00°
Space group C2/m (No. 12)
Asymmetric unit:
Sc (0.000, 0.000, 0.000)
Hg (0.000, 0.500, 0.500)
As (0.234, 0.500, 0.164)

Properties
E above lowest polymorph   0.62 eV/f.u.

Entry from the Alexandria database: a geometry-optimized ScHg2As structure (PBE).

a = 7.376 Å, b = 4.264 Å, c = 6.709 Å
α = 90.00°, β = 111.36°, γ = 90.00°
Space group Cm (No. 8)
Asymmetric unit:
Sc (0.000, 0.000, 0.000)
Hg (0.181, 0.000, 0.546)
Hg (0.424, 0.000, 0.273)
As (0.107, 0.500, 0.821)

Properties
Energy   -3.27 eV per atom

Entry from the Alexandria database: a geometry-optimized Sc2HgAs2 structure (PBE).

a = 4.837 Å, b = 4.837 Å, c = 10.148 Å
α = 90.00°, β = 90.00°, γ = 90.00°
Space group I4/mmm (No. 139)
Asymmetric unit:
Sc (0.000, 0.500, 0.250)
Hg (0.000, 0.000, 0.000)
As (0.000, 0.000, 0.367)

Properties
Energy   -5.14 eV per atom

Entry from the Alexandria database: a geometry-optimized ScHgAs2 structure (PBE).

a = 4.203 Å, b = 4.386 Å, c = 8.821 Å
α = 90.00°, β = 90.00°, γ = 90.00°
Space group Immm (No. 71)
Asymmetric unit:
Sc (0.000, 0.000, 0.000)
Hg (0.000, 0.000, 0.500)
As (0.000, 0.500, 0.253)

Properties
E above lowest polymorph   0.80 eV/f.u.

Entry from the Alexandria database: a geometry-optimized Sc2HgAs structure (PBE).

a = 4.025 Å, b = 4.040 Å, c = 10.278 Å
α = 90.00°, β = 90.00°, γ = 90.00°
Space group Imm2 (No. 44)
Asymmetric unit:
Sc (0.000, 0.000, 0.000)
Sc (0.000, 0.500, 0.250)
Hg (0.000, 0.000, 0.500)
As (0.000, 0.500, 0.750)

Properties
E above lowest polymorph   0.80 eV/f.u.

Entry from the Alexandria database: a geometry-optimized ScHg2As structure (PBE).

a = 8.174 Å, b = 8.174 Å, c = 5.523 Å
α = 90.00°, β = 90.00°, γ = 90.00°
Space group I-42d (No. 122)
Asymmetric unit:
Sc (0.000, 0.000, 0.000)
Hg (0.227, 0.250, 0.625)
As (0.000, 0.000, 0.500)

Properties
Energy   -3.14 eV per atom

Entry from the Alexandria database: a geometry-optimized ScHg2As structure (PBE).

a = 3.786 Å, b = 3.717 Å, c = 7.611 Å
α = 90.00°, β = 101.90°, γ = 90.00°
Space group Pm (No. 6)
Asymmetric unit:
Sc (0.000, 0.000, 0.000)
Hg (0.128, 0.500, 0.350)
Hg (0.708, 0.000, 0.604)
As (0.490, 0.500, 0.973)

Properties
Energy   -3.32 eV per atom

Taking the records one at a time from the top gives magnetic moment values of 0.00, 0.00, 0.00, 0.00, 1.51, 0.00, 0.00, 0.00, 0.00, 0.00, 0.00, 0.00 μB/cell.